Entry from Alexandria via LeMat-Bulk: a PBEsol-optimized structure of KLiRh3 (meta-GGA SCAN).

Cell and atoms, written as extended XYZ:
```
5
Lattice="4.674 0.000 0.000 0.000 4.674 0.000 0.000 0.000 4.674" Properties=species:S:1:pos:R:3 pbc="T T T"
K 0.000 0.000 0.000
Li 2.337 2.337 2.337
Rh 0.000 0.000 2.337
Rh 0.000 2.337 0.000
Rh 2.337 0.000 0.000
```

Results
**Symmetry**: Pm-3m
**DFT formation energy**: 2094 meV/atom


Entry from Alexandria via LeMat-Bulk: a PBEsol-optimized structure of KLiRh (meta-GGA SCAN).

Cell and atoms, written as extended XYZ:
```
6
Lattice="2.673 0.000 0.000 0.000 4.223 0.000 0.000 0.000 11.139" Properties=species:S:1:pos:R:3 pbc="T T T"
K 0.000 0.000 0.000
K 1.336 2.111 5.569
Li 0.000 0.000 8.142
Li 1.336 2.111 2.573
Rh 0.000 0.000 3.258
Rh 1.336 2.111 8.827
```

Results
**Symmetry**: Imm2
**DFT formation energy**: 296 meV/atom


Entry from Alexandria via LeMat-Bulk: a PBEsol-optimized structure of K2LiSiRh (meta-GGA SCAN).

Cell and atoms, written as extended XYZ:
```
5
Lattice="5.021 0.000 0.000 0.000 5.021 0.000 0.000 0.000 4.769" Properties=species:S:1:pos:R:3 pbc="T T T"
K 0.000 2.511 0.000
K 2.511 0.000 0.000
Li 0.000 0.000 0.000
Si 0.000 0.000 2.385
Rh 2.511 2.511 2.385
```

Results
**Symmetry**: P4/mmm
**Formation energy (no corrections)**: 0.876 eV per atom


Entry from Alexandria via LeMat-Bulk: a PBEsol-optimized structure of K2Li2Ru (meta-GGA SCAN).

Cell and atoms, written as extended XYZ:
```
10
Lattice="6.312 0.000 0.000 0.000 6.312 0.000 0.000 0.000 7.656" Properties=species:S:1:pos:R:3 pbc="T T T"
K 0.000 3.156 1.914
K 0.000 3.156 5.742
K 3.156 0.000 1.914
K 3.156 0.000 5.742
Li 0.000 0.000 1.406
Li 0.000 0.000 6.250
Li 3.156 3.156 2.422
Li 3.156 3.156 5.234
Ru 0.000 0.000 3.828
Ru 3.156 3.156 0.000
```

Results
**Symmetry**: I4/mmm
**DFT formation energy**: 844 meV/atom


Entry from Alexandria via LeMat-Bulk: a PBEsol-optimized structure of KLiRu4 (meta-GGA SCAN).

Cell and atoms, written as extended XYZ:
```
6
Lattice="0.000 3.692 3.692 3.692 0.000 3.692 3.692 3.692 0.000" Properties=species:S:1:pos:R:3 pbc="T T T"
K 0.000 0.000 0.000
Li 1.846 1.846 1.846
Ru 4.612 2.771 2.771
Ru 2.771 4.612 2.771
Ru 2.771 2.771 4.612
Ru 4.612 4.612 4.612
```

Results
**Symmetry**: F-43m
**DFT formation energy**: 877 meV/atom


Entry from Alexandria via LeMat-Bulk: a PBEsol-optimized structure of KLiRu2 (meta-GGA SCAN).

Cell and atoms, written as extended XYZ:
```
4
Lattice="3.020 0.000 0.000 0.000 3.020 0.000 0.000 0.000 7.736" Properties=species:S:1:pos:R:3 pbc="T T T"
K 0.000 0.000 0.000
Li 0.000 0.000 3.868
Ru 1.510 1.510 2.721
Ru 1.510 1.510 5.014
```

Results
**Symmetry**: P4/mmm
**DFT formation energy**: 963 meV/atom


Entry from Alexandria via LeMat-Bulk: a PBEsol-optimized structure of K2LiRu (meta-GGA SCAN).

Cell and atoms, written as extended XYZ:
```
4
Lattice="3.416 0.000 0.000 0.000 3.416 0.000 0.000 0.000 9.960" Properties=species:S:1:pos:R:3 pbc="T T T"
K 0.000 0.000 0.000
K 1.708 1.708 4.299
Li 0.000 0.000 6.780
Ru 1.708 1.708 7.607
```

Results
**Symmetry**: P4mm
**DFT formation energy**: 781 meV/atom


Entry from Alexandria via LeMat-Bulk: a PBEsol-optimized structure of KLi2Ru (meta-GGA SCAN).

Cell and atoms, written as extended XYZ:
```
8
Lattice="6.642 0.000 0.000 0.000 7.838 0.000 0.000 0.000 2.649" Properties=species:S:1:pos:R:3 pbc="T T T"
K 0.000 0.000 0.000
K 3.321 3.919 0.000
Li 1.660 1.960 1.324
Li 1.660 5.879 1.324
Li 4.981 1.960 1.324
Li 4.981 5.879 1.324
Ru 0.000 3.919 0.000
Ru 3.321 0.000 0.000
```

Results
**Symmetry**: Cmmm
**DFT formation energy**: 623 meV/atom


Entry from Alexandria via LeMat-Bulk: a PBEsol-optimized structure of K2LiZnRu (meta-GGA SCAN).

Cell and atoms, written as extended XYZ:
```
5
Lattice="5.710 0.000 0.000 0.000 5.710 0.000 0.000 0.000 4.790" Properties=species:S:1:pos:R:3 pbc="T T T"
K 0.000 2.855 0.000
K 2.855 0.000 0.000
Li 0.000 0.000 0.000
Zn 0.000 0.000 2.395
Ru 2.855 2.855 2.395
```

Results
**Symmetry**: P4/mmm
**DFT formation energy**: 1150 meV/atom


Entry from Alexandria via LeMat-Bulk: a PBEsol-optimized structure of KLi3S (meta-GGA SCAN).

Cell and atoms, written as extended XYZ:
```
5
Lattice="4.938 0.000 0.000 0.000 4.938 0.000 0.000 0.000 4.938" Properties=species:S:1:pos:R:3 pbc="T T T"
K 0.000 0.000 0.000
Li 0.000 2.469 2.469
Li 2.469 0.000 2.469
Li 2.469 2.469 0.000
S 2.469 2.469 2.469
```

Results
**Symmetry**: Pm-3m
**Formation energy (no corrections)**: -0.564 eV per atom


Entry from Alexandria via LeMat-Bulk: a PBEsol-optimized structure of KLiS2 (meta-GGA SCAN).

Cell and atoms, written as extended XYZ:
```
16
Lattice="4.864 0.000 0.000 0.000 4.864 0.000 0.000 0.000 15.700" Properties=species:S:1:pos:R:3 pbc="T T T"
K 0.000 0.000 0.000
K 0.000 2.432 3.925
K 2.432 0.000 11.775
K 2.432 2.432 7.850
Li 0.000 0.000 7.850
Li 0.000 2.432 11.775
Li 2.432 0.000 3.925
Li 2.432 2.432 0.000
S 0.264 3.648 9.813
S 1.216 0.264 5.888
S 1.216 2.168 13.738
S 2.168 3.648 1.963
S 2.696 1.216 1.963
S 3.648 2.696 13.738
S 3.648 4.600 5.888
S 4.600 1.216 9.813
```

Results
**Symmetry**: I-42d
**Formation energy (no corrections)**: -0.995 eV per atom


Entry from Alexandria via LeMat-Bulk: a PBEsol-optimized structure of KLi2ZrS (meta-GGA SCAN).

Cell and atoms, written as extended XYZ:
```
5
Lattice="5.300 0.000 0.000 0.000 5.300 0.000 0.000 0.000 6.166" Properties=species:S:1:pos:R:3 pbc="T T T"
K 0.000 0.000 0.000
Li 0.000 2.650 3.083
Li 2.650 0.000 3.083
Zr 0.000 0.000 3.083
S 2.650 2.650 0.000
```

Results
**Symmetry**: P4/mmm
**Formation energy (no corrections)**: 1.103 eV per atom


Number 1: magnetic moment 0.4634 μB/atom. Number 2: magnetic moment 0.0000 μB/atom. Number 3: magnetic moment 0.1037 μB/atom. Number 4: magnetic moment 0.3719 μB/atom. Number 5: magnetic moment 0.7508 μB/atom. Number 6: magnetic moment 0.2206 μB/atom. Number 7: magnetic moment 0.3703 μB/atom. Number 8: magnetic moment 0.0000 μB/atom. Number 9: magnetic moment 0.5400 μB/atom. Number 10: magnetic moment 0.0000 μB/atom. Number 11: magnetic moment 0.0007 μB/atom. Number 12: magnetic moment 0.6119 μB/atom.